## Sr3Ga2Au3 (PBE)

Data for a geometry-optimized Sr3Ga2Au3 structure.

It has space group Cmcm (No. 63), with a = 4.707 Å, b = 11.393 Å, c = 15.609 Å, α = 90.00°, β = 90.00° and γ = 90.00°. The asymmetric unit holds Sr at (0.000, 0.090, 0.104), Sr at (0.000, 0.383, 0.250), Ga at (0.000, 0.208, 0.594), Au at (0.000, 0.315, 0.750) and Au at (0.000, 0.379, 0.043).

The formation energy comes out at -0.668 eV per atom. The energy above the most stable polymorph in this dataset is 0 meV/atom. The calculation puts the total energy at -26.3 eV/f.u. The theoretical density comes out at 7.88 g/cm³. As for the calculated volume: 837.0 Å³/cell.

## BaSb4O8 (PBE)

Data for a geometry-optimized BaSb4O8 structure.

It has space group P-31m (No. 162), with a = 6.3020 Å, b = 6.3020 Å, c = 7.1348 Å, α = 90.00°, β = 90.00° and γ = 120.00°. The asymmetric unit holds Ba at (0.0000, 0.0000, 0.0000), Sb at (0.3333, 0.6667, 0.2773), O at (0.0000, 0.3457, 0.2673) and O at (0.3333, 0.6667, 0.0000).

The calculation puts the total energy at -76.0 eV/f.u. The theoretical density comes out at 5.09 g/cm³. The uncorrected formation energy is -1.379 eV per atom. As for the calculated volume: 245.4 Å³/cell.

## ZnAgOF (PBE)

Data for a geometry-optimized ZnAgOF structure.

It has space group R-3m (No. 166, hexagonal axes), with a = 3.3056 Å, b = 3.3056 Å, c = 36.1599 Å, α = 90.00°, β = 90.00° and γ = 120.00°. The asymmetric unit holds Zn at (0.0000, 0.0000, 0.2023), Ag at (0.0000, 0.0000, 0.3037), O at (0.0000, 0.0000, 0.1349) and F at (0.0000, 0.0000, 0.4004).

The calculation puts the total energy at -15.2 eV/f.u. The theoretical density comes out at 6.06 g/cm³. The uncorrected formation energy is -1.066 eV per atom. As for the calculated volume: 342.2 Å³/cell.

## TaAs5 (PBE)

Data for a geometry-optimized TaAs5 structure.

It has space group P4/mmm (No. 123), with a = 2.895 Å, b = 2.895 Å, c = 14.928 Å, α = 90.00°, β = 90.00° and γ = 90.00°. The asymmetric unit holds Ta at (0.000, 0.000, 0.000), As at (0.000, 0.000, 0.353), As at (0.500, 0.500, 0.133) and As at (0.500, 0.500, 0.500).

The formation energy comes out at 0.273 eV per atom. The energy above the most stable polymorph in this dataset is 286 meV/atom. The calculation puts the total energy at -33.5 eV/f.u. The theoretical density comes out at 7.37 g/cm³. As for the calculated volume: 125.1 Å³/cell.

## CaGaGeRh (PBE)

Data for a geometry-optimized CaGaGeRh structure.

It has space group R3m (No. 160, hexagonal axes), with a = 4.2941 Å, b = 4.2941 Å, c = 15.5196 Å, α = 90.00°, β = 90.00° and γ = 120.00°. The asymmetric unit holds Ca at (0.0000, 0.0000, 0.0000), Ga at (0.0000, 0.0000, 0.4514), Ge at (0.0000, 0.0000, 0.2041) and Rh at (0.0000, 0.0000, 0.8139).

The formation energy comes out at -0.578 eV per atom. The calculation puts the total energy at -19.3 eV/f.u. The theoretical density comes out at 5.74 g/cm³. As for the calculated volume: 247.8 Å³/cell.

## Tb2ScSi2Rh5 (PBE)

Data for a geometry-optimized Tb2ScSi2Rh5 structure.

It has space group P4/mbm (No. 127), with a = 9.891 Å, b = 9.891 Å, c = 3.488 Å, α = 90.00°, β = 90.00° and γ = 90.00°. The asymmetric unit holds Tb at (0.174, 0.326, 0.000), Sc at (0.000, 0.000, 0.000), Si at (0.124, 0.624, 0.000), Rh at (0.000, 0.500, 0.500) and Rh at (0.069, 0.783, 0.500).

The calculation puts the total energy at -73.3 eV/f.u. The theoretical density comes out at 9.09 g/cm³. The uncorrected formation energy is -1.006 eV per atom. As for the calculated volume: 341.2 Å³/cell.

## Ca4MgCd (PBE)

Data for a geometry-optimized Ca4MgCd structure.

It has space group Pm (No. 6), with a = 5.461 Å, b = 5.460 Å, c = 7.840 Å, α = 90.00°, β = 90.09° and γ = 90.00°. The asymmetric unit holds Ca at (0.000, 0.000, 0.000), Ca at (0.000, 0.000, 0.482), Ca at (0.500, 0.500, 0.000), Ca at (0.500, 0.500, 0.482), Mg at (0.999, 0.500, 0.742) and Cd at (0.500, 0.000, 0.241).

The formation energy comes out at 0.042 eV per atom. The energy above the most stable polymorph in this dataset is 192 meV/atom. The calculation puts the total energy at -10.3 eV/f.u. The theoretical density comes out at 2.11 g/cm³. As for the calculated volume: 233.7 Å³/cell.

## AlCd2 (PBE)

Data for a geometry-optimized AlCd2 structure.

It has space group Fm-3m (No. 225), with a = 6.560 Å, b = 6.560 Å, c = 6.560 Å, α = 90.00°, β = 90.00° and γ = 90.00°. The asymmetric unit holds Al at (0.000, 0.000, 0.000) and Cd at (0.250, 0.250, 0.250).

The formation energy comes out at 0.136 eV per atom. The calculation puts the total energy at -5.2 eV/f.u. The theoretical density comes out at 5.92 g/cm³. As for the calculated volume: 282.4 Å³/cell.

## BaSi2HgS6 (PBE)

Data for a geometry-optimized BaSi2HgS6 structure.

It has space group C2/c (No. 15), with a = 12.722 Å, b = 14.564 Å, c = 5.989 Å, α = 90.00°, β = 100.39° and γ = 90.00°. The asymmetric unit holds Ba at (0.000, 0.114, 0.250), Si at (0.211, 0.431, 0.193), Hg at (0.000, 0.330, 0.750), S at (0.124, 0.085, 0.769), S at (0.135, 0.303, 0.076) and S at (0.148, 0.449, 0.504).

The calculation puts the total energy at -46.3 eV/f.u. The theoretical density comes out at 3.57 g/cm³. The uncorrected formation energy is -0.842 eV per atom. As for the calculated volume: 1091.4 Å³/cell.

## La8As4Se3S (PBE)

Data for a geometry-optimized La8As4Se3S structure.

It has space group R-3m (No. 166, hexagonal axes), with a = 8.6711 Å, b = 8.6711 Å, c = 21.1844 Å, α = 90.00°, β = 90.00° and γ = 120.00°. The asymmetric unit holds La at (0.0000, 0.0000, 0.2474), La at (0.0043, 0.5022, 0.7516), As at (0.0000, 0.0000, 0.5000), As at (0.0000, 0.5000, 0.5000), Se at (0.0000, 0.5000, 0.0000) and S at (0.0000, 0.0000, 0.0000).

The calculation puts the total energy at -102.2 eV/f.u. The theoretical density comes out at 6.07 g/cm³. The uncorrected formation energy is -1.849 eV per atom. As for the calculated volume: 1379.4 Å³/cell.

## CrAg2Mo (PBE)

Data for a geometry-optimized CrAg2Mo structure.

It has space group Cm (No. 8), with a = 9.325 Å, b = 2.786 Å, c = 5.154 Å, α = 90.00°, β = 99.77° and γ = 90.00°. The asymmetric unit holds Cr at (0.000, 0.000, 0.000), Ag at (0.251, 0.000, 0.715), Ag at (0.497, 0.000, 0.481) and Mo at (0.241, 0.500, 0.199).

The formation energy comes out at 0.568 eV per atom. The energy above the most stable polymorph in this dataset is 229 meV/atom. The calculation puts the total energy at -23.9 eV/f.u. The theoretical density comes out at 9.15 g/cm³. As for the calculated volume: 132.0 Å³/cell.

## V6Sn2H (PBE)

Data for a geometry-optimized V6Sn2H structure.

It has space group C2/m (No. 12), with a = 9.894 Å, b = 5.576 Å, c = 4.561 Å, α = 90.00°, β = 91.26° and γ = 90.00°. The asymmetric unit holds V at (0.074, 0.225, 0.238), V at (0.161, 0.000, 0.750), Sn at (0.166, 0.500, 0.742) and H at (0.000, 0.000, 0.500).

The energy above the most stable polymorph in this dataset is 0 meV/atom. The calculation puts the total energy at -66.9 eV/f.u. The theoretical density comes out at 7.18 g/cm³. As for the calculated volume: 251.6 Å³/cell.

Copy entry 3 word for word.
## ZnAgOF (PBE)

Data for a geometry-optimized ZnAgOF structure.

It has space group R-3m (No. 166, hexagonal axes), with a = 3.3056 Å, b = 3.3056 Å, c = 36.1599 Å, α = 90.00°, β = 90.00° and γ = 120.00°. The asymmetric unit holds Zn at (0.0000, 0.0000, 0.2023), Ag at (0.0000, 0.0000, 0.3037), O at (0.0000, 0.0000, 0.1349) and F at (0.0000, 0.0000, 0.4004).

The calculation puts the total energy at -15.2 eV/f.u. The theoretical density comes out at 6.06 g/cm³. The uncorrected formation energy is -1.066 eV per atom. As for the calculated volume: 342.2 Å³/cell.